VASP calculation (PBE-GGA) on a relaxed Ni2Pt2Au crystal.

Cell: 6.269 6.269 6.269 Å, 145.41 145.41 49.72°
Fractional positions:
Ni  0.099  0.099  0.000
Ni  0.901  0.901  0.000
Pt  0.250  0.750  0.500
Pt  0.750  0.250  0.500
Au  0.500  0.500  0.000

* energy of formation from the pure elements: 264 meV per atom
* Fermi-level density of states: 4.435 states/eV per cell



VASP calculation (PBE-GGA) on a relaxed ReSi2Ir crystal.

Cell: 5.271 5.271 5.271 Å, 147.74 134.56 56.82°
Fractional positions:
Re  0.000  0.000  0.000
Si  0.239  0.739  0.500
Si  0.501  0.501  0.000
Ir  0.727  0.227  0.500

* E_form (uncorrected): -0.146 eV per atom
* Fermi-level density of states: 1.890 states/eV per cell



VASP calculation (PBE-GGA) on a relaxed La3ZrSe6 crystal.

Cell: 9.298 9.298 7.194 Å, 90.00 90.00 101.87°
Fractional positions:
La  0.098  0.902  0.500
La  0.223  0.415  0.419
La  0.415  0.223  0.919
La  0.585  0.777  0.419
La  0.777  0.585  0.919
La  0.902  0.098  0.000
Zr  0.310  0.690  0.881
Zr  0.690  0.310  0.381
Se  0.071  0.599  0.704
Se  0.134  0.188  0.709
Se  0.188  0.134  0.209
Se  0.276  0.724  0.235
Se  0.401  0.929  0.704
Se  0.473  0.527  0.717
Se  0.527  0.473  0.217
Se  0.599  0.071  0.204
Se  0.724  0.276  0.735
Se  0.812  0.866  0.709
Se  0.866  0.812  0.209
Se  0.929  0.401  0.204

* E_form (uncorrected): -1.753 eV per atom
* Fermi-level density of states: 8.755 states/eV per cell



VASP calculation (PBE-GGA) on a relaxed NaAgGe crystal.

Cell: 5.642 8.289 6.251 Å, 90.00 123.62 90.00°
Fractional positions:
Na  0.249  0.247  0.376
Na  0.249  0.253  0.876
Na  0.751  0.747  0.124
Na  0.751  0.753  0.624
Ag  0.266  0.590  0.139
Ag  0.266  0.910  0.639
Ag  0.734  0.090  0.361
Ag  0.734  0.410  0.861
Ge  0.237  0.580  0.609
Ge  0.237  0.920  0.109
Ge  0.763  0.080  0.891
Ge  0.763  0.420  0.391

* energy of formation from the pure elements: -15 meV per atom
* Fermi-level density of states: 3.753 states/eV per cell



VASP calculation (PBE-GGA) on a relaxed CsNiC2 crystal.

Cell: 5.935 5.935 5.935 Å, 60.00 60.00 60.00°
Fractional positions:
Cs  0.125  0.125  0.125
Cs  0.875  0.875  0.875
Ni  0.375  0.375  0.375
Ni  0.625  0.625  0.625
C  0.000  0.500  0.500
C  0.500  0.000  0.500
C  0.500  0.500  0.000
C  0.500  0.500  0.500

* energy of formation from the pure elements: 1262 meV per atom
* Fermi-level density of states: 3.167 states/eV per cell



VASP calculation (PBE-GGA) on a relaxed ZnIn12Pb3 crystal.

Cell: 4.684 4.684 19.846 Å, 90.00 90.00 90.00°
Fractional positions:
Zn  0.000  0.000  0.000
In  0.000  0.500  0.113
In  0.000  0.500  0.372
In  0.000  0.500  0.628
In  0.000  0.500  0.887
In  0.500  0.000  0.113
In  0.500  0.000  0.372
In  0.500  0.000  0.628
In  0.500  0.000  0.887
In  0.500  0.500  0.000
In  0.500  0.500  0.244
In  0.500  0.500  0.500
In  0.500  0.500  0.756
Pb  0.000  0.000  0.240
Pb  0.000  0.000  0.500
Pb  0.000  0.000  0.760

* energy of formation from the pure elements: 51 meV per atom
* Fermi-level density of states: 8.380 states/eV per cell



VASP calculation (PBE-GGA) on a relaxed LaPuCu10 crystal.

Cell: 4.076 5.155 8.897 Å, 90.00 90.00 90.00°
Fractional positions:
La  0.000  0.000  0.000
Pu  0.000  0.500  0.500
Cu  0.000  0.000  0.337
Cu  0.000  0.000  0.663
Cu  0.000  0.500  0.170
Cu  0.000  0.500  0.830
Cu  0.500  0.000  0.500
Cu  0.500  0.252  0.254
Cu  0.500  0.252  0.746
Cu  0.500  0.500  0.000
Cu  0.500  0.748  0.254
Cu  0.500  0.748  0.746

* energy of formation from the pure elements: -85 meV per atom
* Fermi-level density of states: 18.380 states/eV per cell



VASP calculation (PBE-GGA) on a relaxed ZnS crystal.

Cell: 3.828 3.828 38.909 Å, 90.00 90.00 120.00°
Fractional positions:
Zn  0.000  0.000  0.000
Zn  0.000  0.000  0.215
Zn  0.000  0.000  0.514
Zn  0.000  0.000  0.757
Zn  0.333  0.667  0.081
Zn  0.333  0.667  0.351
Zn  0.333  0.667  0.595
Zn  0.333  0.667  0.838
Zn  0.667  0.333  0.166
Zn  0.667  0.333  0.433
Zn  0.667  0.333  0.676
Zn  0.667  0.333  0.919
S  0.000  0.000  0.061
S  0.000  0.000  0.272
S  0.000  0.000  0.574
S  0.000  0.000  0.817
S  0.333  0.667  0.142
S  0.333  0.667  0.412
S  0.333  0.667  0.655
S  0.333  0.667  0.899
S  0.667  0.333  0.331
S  0.667  0.333  0.493
S  0.667  0.333  0.736
S  0.667  0.333  0.980

* E_form (uncorrected): -0.600 eV per atom
* Fermi-level density of states: 5.627 states/eV per cell



VASP calculation (PBE-GGA) on a relaxed KUAs2Pd2 crystal.

Cell: 4.320 4.320 8.703 Å, 90.00 90.00 120.00°
Fractional positions:
K  0.000  0.000  0.000
U  0.000  0.000  0.500
As  0.333  0.667  0.304
As  0.667  0.333  0.696
Pd  0.333  0.667  0.713
Pd  0.667  0.333  0.287

* energy of formation from the pure elements: -592 meV per atom
* Fermi-level density of states: 7.867 states/eV per cell



VASP calculation (PBE-GGA) on a relaxed Rb3SmHo2S6 crystal.

Cell: 7.098 7.098 8.050 Å, 98.46 98.46 120.00°
Fractional positions:
Rb  0.000  0.000  0.000
Rb  0.334  0.666  0.000
Rb  0.666  0.334  0.000
Sm  0.500  0.500  0.500
Ho  0.167  0.833  0.500
Ho  0.833  0.167  0.500
S  0.096  0.436  0.307
S  0.224  0.224  0.692
S  0.436  0.096  0.307
S  0.564  0.904  0.693
S  0.776  0.776  0.308
S  0.904  0.564  0.693

* E_form (uncorrected): -1.848 eV per atom
* Fermi-level density of states: 0.000 states/eV per cell



VASP calculation (PBE-GGA) on a relaxed Dy2Ag3Au crystal.

Cell: 3.440 4.762 8.158 Å, 90.00 90.00 90.00°
Fractional positions:
Dy  0.000  0.000  0.000
Dy  0.000  0.500  0.477
Ag  0.500  0.000  0.659
Ag  0.500  0.500  0.151
Ag  0.500  0.500  0.818
Au  0.500  0.000  0.322

* energy of formation from the pure elements: -392 meV per atom
* Fermi-level density of states: 4.437 states/eV per cell



VASP calculation (PBE-GGA) on a relaxed TbScNbN3 crystal.

Cell: 5.651 3.267 8.424 Å, 90.00 103.69 90.00°
Fractional positions:
Tb  0.158  0.250  0.193
Tb  0.842  0.750  0.807
Sc  0.272  0.750  0.544
Sc  0.728  0.250  0.456
Nb  0.360  0.250  0.858
Nb  0.640  0.750  0.142
N  0.054  0.250  0.668
N  0.247  0.750  0.990
N  0.463  0.750  0.343
N  0.537  0.250  0.657
N  0.753  0.250  0.010
N  0.946  0.750  0.332

* E_form (uncorrected): -1.457 eV per atom
* Fermi-level density of states: 4.338 states/eV per cell



VASP calculation (PBE-GGA) on a relaxed Na3LuCl6 crystal.

Cell: 7.426 7.426 7.426 Å, 60.00 60.00 60.00°
Fractional positions:
Na  0.000  0.000  0.000
Na  0.250  0.250  0.250
Na  0.750  0.750  0.750
Lu  0.500  0.500  0.500
Cl  0.256  0.256  0.744
Cl  0.256  0.744  0.256
Cl  0.256  0.744  0.744
Cl  0.744  0.256  0.256
Cl  0.744  0.256  0.744
Cl  0.744  0.744  0.256

* E_form (uncorrected): -1.871 eV per atom
* Fermi-level density of states: 0.000 states/eV per cell



VASP calculation (PBE-GGA) on a relaxed NaTe2Au crystal.

Cell: 5.056 4.068 6.944 Å, 90.00 110.51 90.00°
Fractional positions:
Na  0.000  0.000  0.000
Te  0.283  0.500  0.743
Te  0.717  0.500  0.257
Au  0.000  0.000  0.500

* E_form (uncorrected): -0.355 eV per atom
* Fermi-level density of states: 1.510 states/eV per cell



VASP calculation (PBE-GGA) on a relaxed ZrZnRu2 crystal.

Cell: 4.624 4.624 4.939 Å, 104.53 104.53 39.10°
Fractional positions:
Zr  0.000  0.000  0.000
Zn  0.500  0.500  0.500
Ru  0.245  0.245  0.720
Ru  0.755  0.755  0.280

* energy of formation from the pure elements: -159 meV per atom
* Fermi-level density of states: 3.384 states/eV per cell



VASP calculation (PBE-GGA) on a relaxed CsVS3 crystal.

Cell: 4.125 4.125 18.647 Å, 90.00 90.00 120.00°
Fractional positions:
Cs  0.000  0.000  0.000
Cs  0.000  0.000  0.500
V  0.333  0.667  0.250
V  0.667  0.333  0.750
S  0.000  0.000  0.250
S  0.000  0.000  0.750
S  0.333  0.667  0.132
S  0.333  0.667  0.368
S  0.667  0.333  0.632
S  0.667  0.333  0.868

* E_form (uncorrected): -0.525 eV per atom
* Fermi-level density of states: 6.306 states/eV per cell



VASP calculation (PBE-GGA) on a relaxed ZnCdHg crystal.

Cell: 3.491 3.548 10.659 Å, 80.76 86.18 84.42°
Fractional positions:
Zn  0.000  0.000  0.000
Zn  0.492  0.505  0.881
Cd  0.492  0.510  0.535
Cd  0.997  0.990  0.345
Hg  0.505  0.500  0.159
Hg  0.986  0.005  0.722

* energy of formation from the pure elements: 93 meV per atom
* Fermi-level density of states: 1.983 states/eV per cell



VASP calculation (PBE-GGA) on a relaxed HoP2Pd7Pb2 crystal.

Cell: 4.117 4.117 13.602 Å, 96.04 96.04 89.64°
Fractional positions:
Ho  0.000  0.000  0.000
P  0.414  0.414  0.755
P  0.586  0.586  0.245
Pd  0.057  0.556  0.156
Pd  0.394  0.394  0.583
Pd  0.444  0.943  0.844
Pd  0.500  0.500  0.000
Pd  0.556  0.057  0.156
Pd  0.606  0.606  0.417
Pd  0.943  0.444  0.844
Pb  0.104  0.104  0.381
Pb  0.896  0.896  0.619

* energy of formation from the pure elements: -503 meV per atom
* Fermi-level density of states: 5.519 states/eV per cell



VASP calculation (PBE-GGA) on a relaxed Ba3Ac2LaSe6 crystal.

Cell: 7.839 7.839 7.961 Å, 99.46 99.46 119.96°
Fractional positions:
Ba  0.000  0.000  0.000
Ba  0.332  0.668  0.000
Ba  0.668  0.332  0.000
Ac  0.166  0.834  0.500
Ac  0.834  0.166  0.500
La  0.500  0.500  0.500
Se  0.095  0.423  0.269
Se  0.250  0.250  0.732
Se  0.423  0.095  0.269
Se  0.577  0.905  0.731
Se  0.750  0.750  0.268
Se  0.905  0.577  0.731

* E_form (uncorrected): -1.967 eV per atom
* Fermi-level density of states: 5.133 states/eV per cell



VASP calculation (PBE-GGA) on a relaxed GaAgHgBr4 crystal.

Cell: 6.873 6.873 6.873 Å, 100.70 100.70 128.94°
Fractional positions:
Ga  0.000  0.000  0.000
Ag  0.750  0.250  0.500
Hg  0.250  0.750  0.500
Br  0.040  0.342  0.918
Br  0.424  0.122  0.082
Br  0.658  0.576  0.698
Br  0.878  0.960  0.302

* E_form (uncorrected): -0.560 eV per atom
* Fermi-level density of states: 0.000 states/eV per cell



So what do the calculations give for total DFT energy (no corrections)? Going down the list: -0.1882, -0.3008, -0.2270, -0.1082, -0.1841, -0.1021, -0.1876, -0.1213, -0.2182, -0.1951, -0.1433, -0.3353, -0.1406, -0.1130, -0.2665, -0.1836, -0.0271, -0.1997, -0.1942, -0.0881 hartree per atom.